1.
This record from Alexandria via LeMat-Bulk describes an optimized crystal structure of Al2NiHg. The functional is PBE-GGA.

The structure belongs to space group R-3m (No. 166, hexagonal axes); the cell edges are 3.0546, 3.0546 and 24.7003 Å and the angles 90.00°, 90.00° and 120.00°. The asymmetric unit holds Al at (0.0000, 0.0000, 0.2363), Ni at (0.0000, 0.0000, 0.5000) and Hg at (0.0000, 0.0000, 0.0000).

As for the total energy: -3.47 eV per atom. Its total magnetization is 0.000 μB/f.u.

2.
This record from Alexandria via LeMat-Bulk describes an optimized crystal structure of Al3NiHg. The functional is PBE-GGA.

The structure belongs to space group Pm-3m (No. 221); the cell edges are 4.9470, 4.9470 and 4.9470 Å and the angles 90.00°, 90.00° and 90.00°. The asymmetric unit holds Al at (0.0000, 0.0000, 0.5000), Ni at (0.5000, 0.5000, 0.5000) and Hg at (0.0000, 0.0000, 0.0000).

As for the total energy: -2.38 eV per atom. Its total magnetization is 0.000 μB/f.u.

3.
This record from Alexandria via LeMat-Bulk describes an optimized crystal structure of Al2NiHg. The functional is PBE-GGA.

The structure belongs to space group Pm (No. 6); the cell edges are 3.1760, 4.3767 and 4.6897 Å and the angles 90.00°, 90.08° and 90.00°. The asymmetric unit holds Al at (0.0000, 0.0000, 0.0000), Al at (0.5002, 0.5000, 0.1599), Ni at (0.9990, 0.5000, 0.7637) and Hg at (0.4994, 0.0000, 0.5112).

As for the total energy: -3.43 eV per atom. Its total magnetization is 0.000 μB/f.u.

4.
This record from Alexandria via LeMat-Bulk describes an optimized crystal structure of Al2NiHg. The functional is PBE-GGA.

The structure belongs to space group Immm (No. 71); the cell edges are 2.7897, 4.5871 and 10.6873 Å and the angles 90.00°, 90.00° and 90.00°. The asymmetric unit holds Al at (0.0000, 0.0000, 0.1951), Ni at (0.0000, 0.5000, 0.5000) and Hg at (0.0000, 0.5000, 0.0000).

As for the total energy: -3.41 eV per atom. Its total magnetization is 0.000 μB/f.u.